A relaxed Ac2In4Pt3Au crystal. Source: Alexandria, functional PBE-GGA.

The space group is P-4m2 (No. 115) and the conventional cell measures 4.6337, 4.6337 and 11.3702 Å, with angles of 90.00, 90.00 and 90.00 degrees. The inequivalent atoms are Ac at (0.0000, 0.5000, 0.2487), In at (0.0000, 0.0000, 0.0000), In at (0.0000, 0.5000, 0.6281), In at (0.5000, 0.5000, 0.0000), Pt at (0.0000, 0.5000, 0.8636), Pt at (0.5000, 0.5000, 0.5000) and Au at (0.0000, 0.0000, 0.5000).

---

A relaxed AcInPtAu crystal. Source: Alexandria, functional PBE-GGA.

The space group is F-43m (No. 216) and the conventional cell measures 7.3074, 7.3074 and 7.3074 Å, with angles of 90.00, 90.00 and 90.00 degrees. The inequivalent atoms are Ac at (0.0000, 0.0000, 0.0000), In at (0.0000, 0.0000, 0.5000), Pt at (0.2500, 0.2500, 0.2500) and Au at (0.2500, 0.2500, 0.7500).

---

A relaxed Ac2In4PtAu3 crystal. Source: Alexandria, functional PBE-GGA.

The space group is P-4m2 (No. 115) and the conventional cell measures 4.7720, 4.7720 and 11.1557 Å, with angles of 90.00, 90.00 and 90.00 degrees. The inequivalent atoms are Ac at (0.0000, 0.5000, 0.2335), In at (0.0000, 0.0000, 0.5000), In at (0.0000, 0.5000, 0.8800), In at (0.5000, 0.5000, 0.5000), Pt at (0.5000, 0.5000, 0.0000), Au at (0.0000, 0.0000, 0.0000) and Au at (0.0000, 0.5000, 0.6376).

---

E_form? In order: -0.7194, -0.6679, -0.6172 eV/atom.